Entry a
K3Tl5Pt2: relaxed, PBE-GGA.

Cell lengths 12.2121, 12.2121, 4.1272 Å; angles 90.00, 90.00, 90.00 degrees
Atoms (fractional coordinates):
K1 0.0000 0.0000 0.0000
K2 0.1764 0.3236 0.0000
K3 0.3236 0.8236 0.0000
K4 0.5000 0.5000 0.0000
K5 0.6764 0.1764 0.0000
K6 0.8236 0.6764 0.0000
Tl1 0.0000 0.5000 0.5000
Tl2 0.0693 0.7736 0.5000
Tl3 0.2264 0.0693 0.5000
Tl4 0.2736 0.5693 0.5000
Tl5 0.4307 0.2736 0.5000
Tl6 0.5000 0.0000 0.5000
Tl7 0.5693 0.7264 0.5000
Tl8 0.7264 0.4307 0.5000
Tl9 0.7736 0.9307 0.5000
Tl10 0.9307 0.2264 0.5000
Pt1 0.1169 0.6169 0.0000
Pt2 0.3831 0.1169 0.0000
Pt3 0.6169 0.8831 0.0000
Pt4 0.8831 0.3831 0.0000


Entry b
K3Tl5Pt2: relaxed, PBE-GGA.

Cell lengths 10.0731, 10.0731, 10.0731 Å; angles 114.85, 85.33, 131.39 degrees
Atoms (fractional coordinates):
K1 0.1498 0.2410 0.3908
K2 0.2500 0.2500 0.0000
K3 0.3502 0.7410 0.0911
K4 0.6498 0.2590 0.9089
K5 0.7500 0.7500 0.0000
K6 0.8502 0.7590 0.6092
Tl1 0.0204 0.7500 0.2704
Tl2 0.0964 0.6850 0.7813
Tl3 0.2500 0.7500 0.5000
Tl4 0.4036 0.1850 0.5886
Tl5 0.4796 0.7500 0.7296
Tl6 0.5204 0.2500 0.2704
Tl7 0.5964 0.8150 0.4114
Tl8 0.7500 0.2500 0.5000
Tl9 0.9036 0.3150 0.2187
Tl10 0.9796 0.2500 0.7296
Pt1 0.1695 0.9130 0.0825
Pt2 0.3305 0.4130 0.7436
Pt3 0.6695 0.5870 0.2564
Pt4 0.8305 0.0870 0.9175


Result of the stability comparison: entry b is the least stable of them.


Entry a
KTlPt3: relaxed, PBE-GGA.

Cell lengths 5.0603, 5.0603, 5.0603 Å; angles 90.00, 90.00, 90.00 degrees
Atoms (fractional coordinates):
K1 0.0000 0.0000 0.0000
Tl1 0.5000 0.5000 0.5000
Pt1 0.0000 0.0000 0.5000
Pt2 0.0000 0.5000 0.0000
Pt3 0.5000 0.0000 0.0000


Entry b
KTlPt3: relaxed, PBE-GGA.

Cell lengths 8.7953, 8.7953, 8.7953 Å; angles 36.80, 36.80, 36.80 degrees
Atoms (fractional coordinates):
K1 0.1620 0.1620 0.1620
K2 0.8380 0.8380 0.8380
Tl1 0.4128 0.4128 0.4128
Tl2 0.5872 0.5872 0.5872
Pt1 0.1255 0.1255 0.6134
Pt2 0.1255 0.6134 0.1255
Pt3 0.3866 0.8745 0.8745
Pt4 0.6134 0.1255 0.1255
Pt5 0.8745 0.3866 0.8745
Pt6 0.8745 0.8745 0.3866


Entry c
KTlPt3: relaxed, PBE-GGA.

Cell lengths 5.1735, 5.1735, 5.1735 Å; angles 90.00, 90.00, 90.00 degrees
Atoms (fractional coordinates):
K1 0.0000 0.0000 0.0000
Tl1 0.5000 0.5000 0.5000
Pt1 0.0000 0.5000 0.5000
Pt2 0.5000 0.0000 0.5000
Pt3 0.5000 0.5000 0.0000


Result of the stability comparison: entry a is the least stable of them.


Entry a
KV3Pt: relaxed, PBE-GGA.

Cell lengths 4.2478, 4.2478, 4.2478 Å; angles 90.00, 90.00, 90.00 degrees
Atoms (fractional coordinates):
K1 0.0000 0.0000 0.0000
V1 0.0000 0.0000 0.5000
V2 0.0000 0.5000 0.0000
V3 0.5000 0.0000 0.0000
Pt1 0.5000 0.5000 0.5000


Entry b
KV3Pt: relaxed, PBE-GGA.

Cell lengths 4.9843, 4.9843, 4.9843 Å; angles 90.00, 90.00, 90.00 degrees
Atoms (fractional coordinates):
K1 0.0000 0.0000 0.0000
V1 0.0000 0.5000 0.5000
V2 0.5000 0.0000 0.5000
V3 0.5000 0.5000 0.0000
Pt1 0.5000 0.5000 0.5000


Result of the stability comparison: entry a is the least stable of them.


Entry a
KVPt3: relaxed, PBE-GGA.

Cell lengths 4.7756, 4.7756, 4.7756 Å; angles 90.00, 90.00, 90.00 degrees
Atoms (fractional coordinates):
K1 0.0000 0.0000 0.0000
V1 0.5000 0.5000 0.5000
Pt1 0.0000 0.5000 0.5000
Pt2 0.5000 0.0000 0.5000
Pt3 0.5000 0.5000 0.0000


Entry b
KVPt3: relaxed, PBE-GGA.

Cell lengths 4.8971, 4.8971, 4.8971 Å; angles 90.00, 90.00, 90.00 degrees
Atoms (fractional coordinates):
K1 0.0000 0.0000 0.0000
V1 0.5000 0.5000 0.5000
Pt1 0.0000 0.0000 0.5000
Pt2 0.0000 0.5000 0.0000
Pt3 0.5000 0.0000 0.0000


Result of the stability comparison: entry b is the least stable of them.